Record 1
VASP calculation (PBE) on a geometry-optimized Fe2PdCl6 structure.

Results
As for the formation energy without anion corrections: -0.6101 eV per atom.

Cell: 8.1263 8.1263 7.0728 Å, 91.58 91.58 82.89°
Fractional coordinates of all 18 atoms:
Fe: 0.1135 0.2715 0.2945
Fe: 0.2715 0.1135 0.7945
Fe: 0.7285 0.8865 0.2055
Fe: 0.8865 0.7285 0.7055
Pd: 0.4057 0.5943 0.7500
Pd: 0.5943 0.4057 0.2500
Cl: 0.0493 0.2039 0.5976
Cl: 0.1221 0.6150 0.8437
Cl: 0.2039 0.0493 0.0976
Cl: 0.3033 0.4470 0.3267
Cl: 0.3850 0.8779 0.6563
Cl: 0.4470 0.3033 0.8267
Cl: 0.5530 0.6967 0.1733
Cl: 0.6150 0.1221 0.3437
Cl: 0.6967 0.5530 0.6733
Cl: 0.7961 0.9507 0.9024
Cl: 0.8779 0.3850 0.1563
Cl: 0.9507 0.7961 0.4024

Record 2
VASP calculation (PBE) on a geometry-optimized MgCr3Cd structure.

Results
For the calculated formation energy, the calculation gives 1430 meV/atom. The distance to the lowest polymorph of the same formula is 0.000 eV per atom.

Cell: 5.1119 5.1119 5.1119 Å, 90.00 90.00 90.00°
Fractional coordinates of all 5 atoms:
Mg: 0.0000 0.0000 0.0000
Cr: 0.0000 0.5000 0.5000
Cr: 0.5000 0.0000 0.5000
Cr: 0.5000 0.5000 0.0000
Cd: 0.5000 0.5000 0.5000

Record 3
VASP calculation (PBE) on a geometry-optimized MgZrZn2 structure.

Results
For the calculated formation energy, the calculation gives -200 meV/atom.

Cell: 3.1168 3.1168 7.4941 Å, 90.00 90.00 90.00°
Fractional coordinates of all 4 atoms:
Mg: 0.0000 0.0000 0.0000
Zr: 0.0000 0.0000 0.5000
Zn: 0.5000 0.5000 0.2420
Zn: 0.5000 0.5000 0.7580

Record 4
VASP calculation (PBE) on a geometry-optimized NaSm2Pu3Se6 structure.

Results
As for the formation energy without anion corrections: -1.5997 eV per atom.

Cell: 9.3285 9.3285 8.3568 Å, 102.48 102.48 25.80°
Fractional coordinates of all 12 atoms:
Na: 0.0000 0.0000 0.0000
Sm: 0.3332 0.3332 0.6639
Sm: 0.6668 0.6668 0.3361
Pu: 0.0000 0.0000 0.5000
Pu: 0.3339 0.3339 0.1652
Pu: 0.6661 0.6661 0.8348
Se: 0.1661 0.1661 0.5867
Se: 0.1679 0.1679 0.0836
Se: 0.4991 0.4991 0.7464
Se: 0.5009 0.5009 0.2536
Se: 0.8321 0.8321 0.9164
Se: 0.8339 0.8339 0.4133

no.,mass density (g cm⁻³),E_tot (eV for the cell shown)
1,3.09,-77.4
2,3.64,-24.2
3,5.62,-13.5
4,8.23,-93.9